Computed, not measured: crystalline NbH8N2O2F5 at its relaxed geometry at the PBE level of DFT.

abc: 7.825 8.892 9.478
angles: 90.00 90.00 90.00
Positions (direct):
Nb (0.976, 0.750, 0.129)
Nb (0.476, 0.250, 0.371)
Nb (0.524, 0.750, 0.629)
Nb (0.024, 0.250, 0.871)
H (0.328, 0.442, 0.014)
H (0.328, 0.058, 0.014)
H (0.610, 0.415, 0.096)
H (0.610, 0.085, 0.096)
H (0.533, 0.902, 0.123)
H (0.533, 0.598, 0.123)
H (0.058, 0.250, 0.190)
H (0.865, 0.250, 0.241)
H (0.365, 0.750, 0.259)
H (0.558, 0.750, 0.310)
H (0.033, 0.402, 0.377)
H (0.033, 0.098, 0.377)
H (0.110, 0.915, 0.404)
H (0.110, 0.585, 0.404)
H (0.828, 0.942, 0.486)
H (0.828, 0.558, 0.486)
H (0.172, 0.442, 0.514)
H (0.172, 0.058, 0.514)
H (0.890, 0.415, 0.596)
H (0.890, 0.085, 0.596)
H (0.967, 0.902, 0.623)
H (0.967, 0.598, 0.623)
H (0.442, 0.250, 0.690)
H (0.635, 0.250, 0.741)
H (0.135, 0.750, 0.759)
H (0.942, 0.750, 0.810)
H (0.467, 0.402, 0.877)
H (0.467, 0.098, 0.877)
H (0.390, 0.915, 0.904)
H (0.390, 0.585, 0.904)
H (0.672, 0.942, 0.986)
H (0.672, 0.558, 0.986)
N (0.571, 0.984, 0.046)
N (0.571, 0.516, 0.046)
N (0.071, 0.484, 0.454)
N (0.071, 0.016, 0.454)
N (0.929, 0.984, 0.546)
N (0.929, 0.516, 0.546)
N (0.429, 0.484, 0.954)
N (0.429, 0.016, 0.954)
O (0.159, 0.250, 0.023)
O (0.484, 0.750, 0.224)
O (0.984, 0.250, 0.276)
O (0.659, 0.750, 0.477)
O (0.341, 0.250, 0.523)
O (0.016, 0.750, 0.724)
O (0.516, 0.250, 0.776)
O (0.841, 0.750, 0.977)
F (0.144, 0.902, 0.075)
F (0.144, 0.598, 0.075)
F (0.642, 0.250, 0.170)
F (0.855, 0.905, 0.239)
F (0.855, 0.595, 0.239)
F (0.355, 0.405, 0.261)
F (0.355, 0.095, 0.261)
F (0.142, 0.750, 0.330)
F (0.644, 0.402, 0.425)
F (0.644, 0.098, 0.425)
F (0.356, 0.902, 0.575)
F (0.356, 0.598, 0.575)
F (0.858, 0.250, 0.670)
F (0.645, 0.905, 0.739)
F (0.645, 0.595, 0.739)
F (0.145, 0.405, 0.761)
F (0.145, 0.095, 0.761)
F (0.358, 0.750, 0.830)
F (0.856, 0.402, 0.925)
F (0.856, 0.098, 0.925)

Magnetic moment: 0.01 μB/atom
N(E_F): 0.0000 states/eV per atom
E: -5.53 eV/atom